No. 1
Ac2YTl5 PBE relaxed; calculated formation energy = -251 meV/atom; magnetic moment = 0.01 μB/f.u.; calculated total energy = -3.5654 eV/atom
1.0
5.692 0.000 0.000
0.000 5.692 0.000
0.000 0.000 15.573
Ac Y Tl
4 2 10
Direct
0.000 0.000 0.243
0.000 0.000 0.757
0.500 0.500 0.257
0.500 0.500 0.743
0.000 0.000 0.500
0.500 0.500 0.000
0.000 0.000 0.000
0.000 0.500 0.111
0.000 0.500 0.389
0.000 0.500 0.611
0.000 0.500 0.889
0.500 0.000 0.111
0.500 0.000 0.389
0.500 0.000 0.611
0.500 0.000 0.889
0.500 0.500 0.500


No. 2
Ac4YTl5 PBE relaxed; calculated formation energy = -356 meV/atom; magnetic moment = 0.00 μB/f.u.; calculated total energy = -3.8286 eV/atom
1.0
3.978 0.000 0.000
0.000 3.978 0.000
0.000 0.000 21.241
Ac Y Tl
4 1 5
Direct
0.000 0.000 0.105
0.000 0.000 0.312
0.000 0.000 0.688
0.000 0.000 0.895
0.000 0.000 0.500
0.500 0.500 0.000
0.500 0.500 0.210
0.500 0.500 0.418
0.500 0.500 0.582
0.500 0.500 0.790


No. 3
AcY5Tl6 PBE relaxed; calculated formation energy = -354 meV/atom; magnetic moment = 0.00 μB/f.u.; calculated total energy = -4.5727 eV/atom
1.0
8.658 -3.816 0.000
8.658 3.816 0.000
-1.700 0.000 5.217
Ac Y Tl
1 5 6
Direct
0.000 0.000 0.000
0.162 0.162 0.662
0.332 0.332 0.331
0.500 0.500 0.000
0.668 0.668 0.669
0.838 0.838 0.338
0.087 0.568 0.828
0.270 0.730 0.500
0.432 0.913 0.172
0.568 0.087 0.828
0.730 0.270 0.500
0.913 0.432 0.172


Question: calculated total energy of number 2 (Ac4YTl5)?
Answer: -3.8286 eV/atom


Question: Number 2 is which compound?
Answer: Ac4YTl5